Entry from Alexandria via LeMat-Bulk: a relaxed structure of BaNiH3 (GGA-PBE).

a b c (Å): 5.9328 5.0046 10.8731
angles (deg): 90.00 123.04 90.00
Last column: nearest neighbours and their distance in Å.
Positions (direct):
Ba1 0.1938 0.2500 0.1938  6 H 2.61-2.91
Ba2 0.1938 0.2500 0.6938  6 H 2.61-2.91
Ba3 0.8062 0.7500 0.3062  6 H 2.61-2.91
Ba4 0.8062 0.7500 0.8062  6 H 2.61-2.91
Ni1 0.4586 0.7500 0.4585  5 H 1.65-1.67
Ni2 0.4586 0.7500 0.9585  5 H 1.65-1.67
Ni3 0.5414 0.2500 0.0415  5 H 1.65-1.67
Ni4 0.5414 0.2500 0.5415  5 H 1.65-1.67
H1 0.2775 0.7500 0.2770  1 Ni 1.65
H2 0.2775 0.7500 0.7770  1 Ni 1.65
H3 0.3236 0.0010 0.4981  2 Ni 1.67
H4 0.3236 0.4990 0.9981  2 Ni 1.67
H5 0.3263 0.9995 0.0008  2 Ni 1.67
H6 0.3263 0.5005 0.5008  2 Ni 1.67
H7 0.6737 0.0005 0.9992  2 Ni 1.67
H8 0.6737 0.4995 0.4992  2 Ni 1.67
H9 0.6764 0.5010 0.0019  2 Ni 1.67
H10 0.6764 0.9990 0.5019  2 Ni 1.67
H11 0.7225 0.2500 0.2230  1 Ni 1.65
H12 0.7225 0.2500 0.7230  1 Ni 1.65

Energy relative to the lowest polymorph listed for this composition ... 0.0000 eV/atom
Spin magnetization ... 0.0 μB per cell


Entry from Alexandria via LeMat-Bulk: a relaxed structure of BaNi3H6 (GGA-PBE).

a b c (Å): 4.6732 4.9458 5.3694
angles (deg): 117.31 115.50 90.04
Last column: nearest neighbours and their distance in Å.
Positions (direct):
Ba1 0.0000 0.0000 0.0000  8 H 2.69-2.77, 2 Ni 2.86
Ni1 0.3682 0.7210 0.4418  5 H 1.72-1.81
Ni2 0.5000 0.5000 0.0000  6 H 1.74-1.76
Ni3 0.6318 0.2790 0.5582  5 H 1.72-1.81
H1 0.0736 0.3902 0.7805  2 Ni 1.74-1.81
H2 0.4314 0.1187 0.6916  3 Ni 1.73-1.77
H3 0.4329 0.5721 0.6906  3 Ni 1.72-1.76
H4 0.5671 0.4279 0.3094  3 Ni 1.72-1.76
H5 0.5686 0.8813 0.3084  3 Ni 1.73-1.77
H6 0.9264 0.6098 0.2195  2 Ni 1.74-1.81

Spin magnetization ... 0.0 μB per cell
Total DFT energy (no corrections) ... -4.038 eV/atom


Entry from Alexandria via LeMat-Bulk: a relaxed structure of BaNiH6 (GGA-PBE).

a b c (Å): 4.5255 4.5255 4.4947
angles (deg): 98.15 98.15 95.80
Last column: nearest neighbours and their distance in Å.
Positions (direct):
Ba1 0.0000 0.0000 0.0000  12 H 2.70-2.79
Ni1 0.5000 0.5000 0.5000  6 H 1.50-1.51
H1 0.2558 0.5708 0.2666  1 Ni 1.50
H2 0.2724 0.2724 0.5844  1 Ni 1.51
H3 0.4292 0.7442 0.7334  1 Ni 1.50
H4 0.5708 0.2558 0.2666  1 Ni 1.50
H5 0.7276 0.7276 0.4156  1 Ni 1.51
H6 0.7442 0.4292 0.7334  1 Ni 1.50

Energy relative to the lowest polymorph listed for this composition ... 0.0760 eV/atom
Spin magnetization ... 0.0 μB per cell


Entry from Alexandria via LeMat-Bulk: a relaxed structure of BaNi2H2 (GGA-PBE).

a b c (Å): 5.9062 5.9062 5.9062
angles (deg): 144.40 144.40 51.22
Last column: nearest neighbours and their distance in Å.
Positions (direct):
Ba1 0.0000 0.0000 0.0000  2 H 2.80
Ni1 0.2500 0.7500 0.5000  4 H 1.81
Ni2 0.7500 0.2500 0.5000  4 H 1.81
H1 0.2627 0.2627 0.0000  4 Ni 1.81
H2 0.7373 0.7373 0.0000  4 Ni 1.81

Energy relative to the lowest polymorph listed for this composition ... 0.0000 eV/atom
Spin magnetization ... 0.0 μB per cell


Entry from Alexandria via LeMat-Bulk: a relaxed structure of Ba2NiH (GGA-PBE).

a b c (Å): 7.5422 7.5422 7.5422
angles (deg): 33.53 33.53 33.53
Last column: nearest neighbours and their distance in Å.
Positions (direct):
Ba1 0.2484 0.2484 0.2484  3 H 3.06, 3 Ni 3.10
Ba2 0.7516 0.7516 0.7516  3 H 3.06, 3 Ni 3.10
Ni1 0.0000 0.0000 0.0000  6 Ba 3.10
H1 0.5000 0.5000 0.5000  6 Ba 3.06

Energy relative to the lowest polymorph listed for this composition ... 0.0000 eV/atom
Spin magnetization ... 0.0 μB per cell


Entry from Alexandria via LeMat-Bulk: a relaxed structure of BaNiH2 (GGA-PBE).

a b c (Å): 5.0043 5.0043 5.0043
angles (deg): 53.86 53.86 53.86
Last column: nearest neighbours and their distance in Å.
Positions (direct):
Ba1 0.0000 0.0000 0.0000  6 H 2.68
Ni1 0.5000 0.5000 0.5000  2 H 1.54
H1 0.3796 0.3796 0.3796  1 Ni 1.54
H2 0.6204 0.6204 0.6204  1 Ni 1.54

Energy relative to the lowest polymorph listed for this composition ... 0.0000 eV/atom
Spin magnetization ... 0.1 μB per cell


Entry from Alexandria via LeMat-Bulk: a relaxed structure of BaNiH6 (GGA-PBE).

a b c (Å): 5.0036 5.0036 5.0036
angles (deg): 60.09 60.09 60.09
Last column: nearest neighbours and their distance in Å.
Positions (direct):
Ba1 0.0000 0.0000 0.0000  12 H 2.79
Ni1 0.5000 0.5000 0.5000  6 H 1.51
H1 0.1433 0.5758 0.5758  1 Ni 1.51
H2 0.4242 0.4242 0.8567  1 Ni 1.51
H3 0.4242 0.8567 0.4242  1 Ni 1.51
H4 0.5758 0.1433 0.5758  1 Ni 1.51
H5 0.5758 0.5758 0.1433  1 Ni 1.51
H6 0.8567 0.4242 0.4242  1 Ni 1.51

Energy relative to the lowest polymorph listed for this composition ... 0.0000 eV/atom
Spin magnetization ... 0.0 μB per cell


Entry from Alexandria via LeMat-Bulk: a relaxed structure of Ba4NiH2 (GGA-PBE).

a b c (Å): 8.2568 8.2568 8.2568
angles (deg): 138.01 138.01 60.89
Last column: nearest neighbours and their distance in Å.
Positions (direct):
Ba1 0.0000 0.5000 0.5000  2 Ni 2.96, 4 H 3.19
Ba2 0.2342 0.2342 0.0000  1 H 2.58
Ba3 0.5000 0.0000 0.5000  2 Ni 2.96, 4 H 3.19
Ba4 0.7658 0.7658 0.0000  1 H 2.58
Ni1 0.0000 0.0000 0.0000  4 Ba 2.96
H1 0.4152 0.4152 0.0000  1 H 2.41, 1 Ba 2.58
H2 0.5848 0.5848 0.0000  1 H 2.41, 1 Ba 2.58

Spin magnetization ... 0.0 μB per cell
Total DFT energy (no corrections) ... -2.896 eV/atom


Entry from Alexandria via LeMat-Bulk: a relaxed structure of BaNiH3 (GGA-PBE).

a b c (Å): 3.8607 3.8607 3.8607
angles (deg): 90.00 90.00 90.00
Last column: nearest neighbours and their distance in Å.
Positions (direct):
Ba1 0.0000 0.0000 0.0000  12 H 2.73
Ni1 0.5000 0.5000 0.5000  6 H 1.93
H1 0.0000 0.5000 0.5000  2 Ni 1.93
H2 0.5000 0.0000 0.5000  2 Ni 1.93
H3 0.5000 0.5000 0.0000  2 Ni 1.93

Energy relative to the lowest polymorph listed for this composition ... 0.0868 eV/atom
Spin magnetization ... 0.0 μB per cell


Entry from Alexandria via LeMat-Bulk: a relaxed structure of Ba2NiH (GGA-PBE).

a b c (Å): 7.7487 7.7487 7.7487
angles (deg): 129.77 129.77 73.77
Last column: nearest neighbours and their distance in Å.
Positions (direct):
Ba1 0.0869 0.6250 0.9619  2 H 2.65, 2 Ni 2.95
Ba2 0.3750 0.3369 0.4619  2 H 2.65, 2 Ni 2.95
Ba3 0.6631 0.1250 0.0381  2 H 2.65, 2 Ni 2.95
Ba4 0.8750 0.9131 0.5381  2 H 2.65, 2 Ni 2.95
Ni1 0.2500 0.7500 0.5000  4 Ba 2.95
Ni2 0.5000 0.5000 0.0000  4 Ba 2.95
H1 0.0000 0.0000 0.0000  4 Ba 2.65
H2 0.7500 0.2500 0.5000  4 Ba 2.65

Energy relative to the lowest polymorph listed for this composition ... 0.1372 eV/atom
Spin magnetization ... 0.0 μB per cell


Entry from Alexandria via LeMat-Bulk: a relaxed structure of Ba4NiH (GGA-PBE).

a b c (Å): 7.5325 7.5325 9.2505
angles (deg): 90.00 90.00 92.00
Last column: nearest neighbours and their distance in Å.
Positions (direct):
Ba1 0.1978 0.8022 0.5150  1 H 2.70
Ba2 0.1978 0.8022 0.9850  1 H 2.70
Ba3 0.2852 0.3068 0.7500  1 H 2.64
Ba4 0.3068 0.2852 0.2500  1 H 2.64
Ba5 0.6932 0.7148 0.7500  1 H 2.64
Ba6 0.7148 0.6932 0.2500  1 H 2.64
Ba7 0.8022 0.1978 0.0150  1 H 2.70
Ba8 0.8022 0.1978 0.4850  1 H 2.70
Ni1 0.0097 0.9903 0.2500  6 Ba 3.10-3.19
Ni2 0.9903 0.0097 0.7500  6 Ba 3.10-3.19
H1 0.3462 0.6538 0.7500  4 Ba 2.64-2.70
H2 0.6538 0.3462 0.2500  4 Ba 2.64-2.70

Spin magnetization ... 0.0 μB per cell
Total DFT energy (no corrections) ... -2.893 eV/atom


Entry from Alexandria via LeMat-Bulk: a relaxed structure of Ba2NpNi3H12 (GGA-PBE).

a b c (Å): 6.1963 6.1963 6.1963
angles (deg): 65.65 65.65 65.65
Last column: nearest neighbours and their distance in Å.
Positions (direct):
Ba1 0.1150 0.1150 0.1150  3 H 2.43
Ba2 0.8850 0.8850 0.8850  3 H 2.43
Np1 0.5000 0.5000 0.5000  6 H 2.20
Ni1 0.0000 0.5000 0.5000  6 H 1.58-1.74
Ni2 0.5000 0.0000 0.5000  6 H 1.58-1.74
Ni3 0.5000 0.5000 0.0000  6 H 1.58-1.74
H1 0.0924 0.6174 0.6174  1 Ni 1.58
H2 0.2352 0.2352 0.5804  2 Ni 1.74
H3 0.2352 0.5804 0.2352  2 Ni 1.74
H4 0.3826 0.3826 0.9076  1 Ni 1.58
H5 0.3826 0.9076 0.3826  1 Ni 1.58
H6 0.4196 0.7648 0.7648  2 Ni 1.74
H7 0.5804 0.2352 0.2352  2 Ni 1.74
H8 0.6174 0.0924 0.6174  1 Ni 1.58
H9 0.6174 0.6174 0.0924  1 Ni 1.58
H10 0.7648 0.4196 0.7648  2 Ni 1.74
H11 0.7648 0.7648 0.4196  2 Ni 1.74
H12 0.9076 0.3826 0.3826  1 Ni 1.58

Spin magnetization ... 4.7 μB per cell
Total DFT energy (no corrections) ... -4.362 eV/atom